[1]
{
  "formula": "CsTlNiI4",
  "functional": "PBE",
  "state": "optimized geometry",
  "cell": [[7.343, 0.000, 0.000], [0.000, 8.185, 0.000], [-3.193, 0.000, 10.270]],
  "species": ["Cs", "Cs", "Tl", "Tl", "Ni", "Ni", "I", "I", "I", "I", "I", "I", "I", "I"],
  "fractional_positions": [[0.193, 0.250, 0.425], [0.807, 0.750, 0.575], [0.333, 0.750, 0.042], [0.667, 0.250, 0.958], [0.094, 0.250, 0.808], [0.906, 0.750, 0.192], [0.183, 0.250, 0.056], [0.231, 0.750, 0.366], [0.277, 0.003, 0.757], [0.277, 0.497, 0.757], [0.723, 0.503, 0.243], [0.723, 0.997, 0.243], [0.769, 0.250, 0.634], [0.817, 0.750, 0.944]],
  "raw_formation_energy_ev_per_atom": -0.641
}



[2]
{
  "formula": "TaZn3Pb",
  "functional": "PBE",
  "state": "optimized geometry",
  "cell": [[5.059, 0.000, 0.000], [0.000, 5.059, 0.000], [0.000, 0.000, 5.059]],
  "species": ["Ta", "Zn", "Zn", "Zn", "Pb"],
  "fractional_positions": [[0.000, 0.000, 0.000], [0.000, 0.000, 0.500], [0.000, 0.500, 0.000], [0.500, 0.000, 0.000], [0.500, 0.500, 0.500]],
  "e_form_ev_per_atom": 0.8858,
  "de_polymorph_mev_per_atom": 0
}



What are the E values for these records? In order: -2.81; -2.99 eV per atom.